No. 1
Below is crystalline Pm2SiAsPt6 at its relaxed geometry, with properties calculated at the PBE level.

Properties
As for the formation energy from raw total energies: -0.93 eV/atom.

a b c (Å): 5.555 8.451 8.490
angles (deg): 90.00 90.00 90.00
Positions (direct):
1 Pm 0.250 0.001 0.233
2 Pm 0.250 0.499 0.233
3 Pm 0.750 0.501 0.767
4 Pm 0.750 0.999 0.767
5 Si 0.250 0.750 0.756
6 Si 0.750 0.250 0.244
7 As 0.250 0.250 0.775
8 As 0.750 0.750 0.225
9 Pt 0.002 0.250 0.486
10 Pt 0.003 0.750 0.985
11 Pt 0.250 0.004 0.619
12 Pt 0.250 0.496 0.619
13 Pt 0.497 0.750 0.985
14 Pt 0.498 0.250 0.486
15 Pt 0.502 0.750 0.514
16 Pt 0.503 0.250 0.015
17 Pt 0.750 0.504 0.381
18 Pt 0.750 0.996 0.381
19 Pt 0.997 0.250 0.015
20 Pt 0.998 0.750 0.514

***

No. 2
Below is crystalline PmY6Tm12 at its relaxed geometry, with properties calculated at the PBE level.

Properties
As for the formation energy: 456.1 meV/atom. Its energy above the most stable polymorph in this dataset is 0 meV per atom.

a b c (Å): 9.301 9.301 9.301
angles (deg): 108.46 108.46 108.46
Positions (direct):
1 Pm 0.000 0.000 0.000
2 Y 0.252 0.678 0.678
3 Y 0.322 0.322 0.748
4 Y 0.322 0.748 0.322
5 Y 0.678 0.252 0.678
6 Y 0.678 0.678 0.252
7 Y 0.748 0.322 0.322
8 Tm 0.108 0.500 0.892
9 Tm 0.108 0.892 0.500
10 Tm 0.150 0.363 0.363
11 Tm 0.363 0.150 0.363
12 Tm 0.363 0.363 0.150
13 Tm 0.500 0.108 0.892
14 Tm 0.500 0.892 0.108
15 Tm 0.637 0.637 0.850
16 Tm 0.637 0.850 0.637
17 Tm 0.850 0.637 0.637
18 Tm 0.892 0.108 0.500
19 Tm 0.892 0.500 0.108

***

No. 3
Below is crystalline CaCeEr2Bi4 at its relaxed geometry, with properties calculated at the PBE level.

Properties
As for the formation energy: -790.3 meV/atom.

a b c (Å): 7.796 4.525 7.854
angles (deg): 90.00 109.21 90.00
Positions (direct):
1 Ca 0.000 0.000 0.000
2 Ce 0.500 0.500 0.000
3 Er 0.000 0.500 0.500
4 Er 0.500 0.000 0.500
5 Bi 0.249 0.000 0.743
6 Bi 0.256 0.500 0.258
7 Bi 0.744 0.500 0.742
8 Bi 0.751 0.000 0.257

***

No. 4
Below is crystalline LiIrRh2 at its relaxed geometry, with properties calculated at the PBE level.

Properties
As for the formation energy: -108.3 meV/atom. Its energy above the most stable polymorph in this dataset is 14 meV per atom.

a b c (Å): 4.689 4.689 4.614
angles (deg): 98.79 98.79 33.54
Positions (direct):
1 Li 0.000 0.000 0.000
2 Ir 0.760 0.760 0.285
3 Rh 0.243 0.243 0.785
4 Rh 0.502 0.502 0.495

***

No. 5
Below is crystalline Tb2TlIn2 at its relaxed geometry, with properties calculated at the PBE level.

Properties
As for the formation energy: -351.8 meV/atom.

a b c (Å): 7.686 7.686 4.667
angles (deg): 90.00 90.00 90.00
Positions (direct):
1 Tb 0.168 0.332 0.000
2 Tb 0.332 0.832 0.000
3 Tb 0.668 0.168 0.000
4 Tb 0.832 0.668 0.000
5 Tl 0.000 0.000 0.500
6 Tl 0.500 0.500 0.500
7 In 0.133 0.633 0.500
8 In 0.367 0.133 0.500
9 In 0.633 0.867 0.500
10 In 0.867 0.367 0.500

***

No. 6
Below is crystalline CeMgBiPd at its relaxed geometry, with properties calculated at the PBE level.

Properties
As for the formation energy: -470.0 meV/atom.

a b c (Å): 5.154 5.154 5.154
angles (deg): 60.00 60.00 60.00
Positions (direct):
1 Ce 0.000 0.000 0.000
2 Mg 0.500 0.500 0.500
3 Bi 0.250 0.250 0.250
4 Pd 0.750 0.750 0.750